No. 1
A plane-wave DFT calculation with PBE was carried out for crystalline ScSiPt2 at its relaxed geometry.

Lattice parameters (Å, degrees): 3.5917 4.3977 8.0873 90.00 90.00 90.00
Element x y z (fractional)
Sc: 0.0000 0.0000 0.0000
Sc: 0.5000 0.5000 0.5000
Si: 0.0000 0.0000 0.5000
Si: 0.5000 0.5000 0.0000
Pt: 0.0000 0.5000 0.2249
Pt: 0.0000 0.5000 0.7751
Pt: 0.5000 0.0000 0.2751
Pt: 0.5000 0.0000 0.7249

Summary:
- symmetry = Immm (71)
- N(E_F) (states/eV/cell) = 3.969
- M_tot (μB/atom) = 0.000
- raw formation energy (kJ/mol of formula units) = -337
- E (eV/f.u.) = -27.33

***

No. 2
A plane-wave DFT calculation with PBE was carried out for crystalline Zr2TiZnO at its relaxed geometry.

Lattice parameters (Å, degrees): 4.5320 4.5320 3.9793 90.00 90.00 90.00
Element x y z (fractional)
Zr: 0.0000 0.5000 0.0000
Zr: 0.5000 0.0000 0.0000
Ti: 0.0000 0.0000 0.5000
Zn: 0.5000 0.5000 0.5000
O: 0.0000 0.0000 0.0000

Summary:
- symmetry = P4/mmm (123)
- N(E_F) (states/eV/cell) = 3.690
- M_tot (μB/atom) = 0.000
- raw formation energy (kJ/mol of formula units) = -546
- E (eV/f.u.) = -36.88

***

No. 3
A plane-wave DFT calculation with PBE was carried out for crystalline Li4Mg3Hg4 at its relaxed geometry.

Lattice parameters (Å, degrees): 3.4799 3.4799 17.6465 95.32 95.32 89.93
Element x y z (fractional)
Li: 0.0914 0.0914 0.1791
Li: 0.2748 0.2748 0.5435
Li: 0.7252 0.7252 0.4565
Li: 0.9086 0.9086 0.8209
Mg: 0.0000 0.0000 0.0000
Mg: 0.3623 0.3623 0.7222
Mg: 0.6377 0.6377 0.2778
Hg: 0.1837 0.1837 0.3756
Hg: 0.4449 0.4449 0.8968
Hg: 0.5551 0.5551 0.1032
Hg: 0.8163 0.8163 0.6244

Summary:
- formation energy from the elements (eV per atom) = -0.29
- symmetry = C2/m (12)
- polymorph energy (0 for the lowest one) (eV per atom) = 0.0000
- N(E_F) (states/eV/cell) = 2.996
- M_tot (μB/atom) = 0.000
- E (eV/f.u.) = -16.79

***

No. 4
A plane-wave DFT calculation with PBE was carried out for crystalline Pr4Ho at its relaxed geometry.

Lattice parameters (Å, degrees): 5.8863 5.8863 5.8863 90.00 90.00 90.00
Element x y z (fractional)
Pr: 0.0000 0.0000 0.0000
Pr: 0.0000 0.5000 0.5000
Pr: 0.5000 0.0000 0.5000
Pr: 0.5000 0.5000 0.0000
Ho: 0.5000 0.5000 0.5000

Summary:
- formation energy from the elements (eV per atom) = 0.62
- symmetry = Pm-3m (221)
- polymorph energy (0 for the lowest one) (eV per atom) = 0.6068
- N(E_F) (states/eV/cell) = 8.582
- M_tot (μB/atom) = 0.001
- E (eV/f.u.) = -20.60